#one
## Ac2Nd2Sm (PBE)

Data for crystalline Ac2Nd2Sm at its relaxed geometry.

The structure in POSCAR format:
```
Ac2Nd2Sm
1.0
9.057 -3.429 0.000
9.057 3.429 0.000
-2.087 0.000 6.273
Ac Nd Sm
4 4 2
Direct
0.049 0.335 0.195
0.335 0.049 0.695
0.665 0.951 0.305
0.951 0.665 0.805
0.292 0.529 0.342
0.471 0.708 0.158
0.529 0.292 0.842
0.708 0.471 0.658
0.077 0.923 0.750
0.923 0.077 0.250
```

The value obtained for the total magnetization is 0.0 Bohr magnetons per cell. The calculation puts the calculated volume at 38.95 Å³/atom.

---

#two
## Ac2Nd2Sm (PBE)

Data for crystalline Ac2Nd2Sm at its relaxed geometry.

The structure in POSCAR format:
```
Ac2Nd2Sm
1.0
-2.489 2.489 8.364
2.489 -2.489 8.364
2.489 2.489 -8.364
Ac Nd Sm
2 2 1
Direct
0.250 0.750 0.500
0.750 0.250 0.500
0.091 0.091 0.000
0.909 0.909 0.000
0.500 0.500 0.000
```

The value obtained for the total magnetization is 0.0 Bohr magnetons per cell. The calculation puts the calculated volume at 41.44 Å³/atom.

---

According to the calculations, the structures order from most to least stable as #one, #two.